A geometry-optimized GdHo2Rh structure. Source: the Alexandria database, functional PBE.

For the total energy, the calculation gives -7.99 eV per atom. As for the mass density: 8.509 g cm⁻³. The formation energy is -0.34 eV/atom.

a = 3.7728 Å, b = 3.7728 Å, c = 9.5915 Å
α = 78.66°, β = 78.66°, γ = 60.00°
Closest atoms and distances in Å follow each position.
Fractional positions:
Gd  0.5000  0.5000  0.5000  6 Ho 3.71, 6 Gd 3.77
Ho  0.7260  0.7260  0.8220  3 Rh 2.74
Ho  0.2740  0.2740  0.1780  3 Rh 2.74
Rh  0.0000  0.0000  0.0000  6 Ho 2.74

=====

A geometry-optimized CaTb2AgS4 structure. Source: the Alexandria database, functional PBE.

For the total energy, the calculation gives -5.49 eV per atom. As for the mass density: 5.565 g cm⁻³.

a = 3.9658 Å, b = 6.8141 Å, c = 6.9703 Å
α = 109.79°, β = 90.00°, γ = 90.00°
Closest atoms and distances in Å follow each position.
Fractional positions:
Ca  0.5000  0.5000  0.0000  6 S 2.83-2.86
S  0.5000  0.2514  0.2580  3 Tb 2.78, 2 Ag 2.83, 1 Ca 2.86
S  0.5000  0.7486  0.7420  3 Tb 2.78, 2 Ag 2.83, 1 Ca 2.86
S  0.0000  0.7498  0.2575  3 Tb 2.78, 2 Ca 2.83, 1 Ag 2.86
S  0.0000  0.2502  0.7425  3 Tb 2.78, 2 Ca 2.83, 1 Ag 2.86
Tb  0.5000  0.0000  0.5000  6 S 2.78
Tb  0.0000  0.5000  0.5000  6 S 2.78
Ag  0.0000  0.0000  0.0000  6 S 2.83-2.86

=====

A geometry-optimized V2CrNi8 structure. Source: the Alexandria database, functional PBE.

For the total energy, the calculation gives -6.78 eV per atom. As for the mass density: 8.000 g cm⁻³. The formation energy is -0.04 eV/atom.

a = 3.4745 Å, b = 7.2270 Å, c = 6.5296 Å
α = 123.60°, β = 105.43°, γ = 90.00°
Closest atoms and distances in Å follow each position.
Fractional positions:
Ni  0.0000  0.7525  0.0000  6 Ni 2.42-2.53, 2 V 2.44, 2 Cr 2.49
Ni  0.3369  0.0878  0.6737  7 Ni 2.42-2.51, 1 Cr 2.47, 3 V 2.50-2.60
Ni  0.1741  0.1741  0.3482  8 Ni 2.46-2.53, 2 V 2.46, 2 Cr 2.50
Ni  0.6631  0.4141  0.3263  7 Ni 2.42-2.51, 1 Cr 2.47, 3 V 2.50-2.60
Ni  0.0000  0.2475  0.0000  6 Ni 2.42-2.53, 2 V 2.44, 2 Cr 2.49
Ni  0.8259  0.8259  0.6518  8 Ni 2.46-2.53, 2 V 2.46, 2 Cr 2.50
Ni  0.6631  0.9122  0.3263  7 Ni 2.42-2.51, 1 Cr 2.47, 3 V 2.50-2.60
Ni  0.3369  0.5859  0.6737  7 Ni 2.42-2.51, 1 Cr 2.47, 3 V 2.50-2.60
V  0.8433  0.3433  0.6866  10 Ni 2.44-2.60
V  0.1567  0.6567  0.3134  10 Ni 2.44-2.60
Cr  0.5000  0.0000  0.0000  12 Ni 2.47-2.50

=====

A geometry-optimized SbAu structure. Source: the Alexandria database, functional PBE.

For the total energy, the calculation gives -3.65 eV per atom. As for the mass density: 10.626 g cm⁻³.

a = 6.9757 Å, b = 9.2055 Å, c = 9.3082 Å
α = 90.00°, β = 90.00°, γ = 90.00°
Closest atoms and distances in Å follow each position.
Fractional positions:
Sb  0.2500  0.4601  0.7883  4 Au 2.72-2.78
Sb  0.2500  0.5370  0.2042  4 Au 2.73-2.78
Sb  0.7500  0.9630  0.2042  4 Au 2.73-2.78
Sb  0.7500  0.0399  0.7883  4 Au 2.72-2.78
Sb  0.0000  0.7500  0.5918  6 Au 3.01-3.02
Sb  0.5000  0.7500  0.5918  6 Au 3.01-3.02
Sb  0.7500  0.4630  0.7958  4 Au 2.73-2.78
Sb  0.5000  0.2500  0.4082  6 Au 3.01-3.02
Sb  0.2500  0.9601  0.2117  4 Au 2.72-2.78
Sb  0.7500  0.5399  0.2117  4 Au 2.72-2.78
Sb  0.0000  0.2500  0.4082  6 Au 3.01-3.02
Sb  0.2500  0.0370  0.7958  4 Au 2.73-2.78
Au  0.2500  0.7472  0.8572  4 Sb 2.72-3.02, 2 Au 2.90
Au  0.2500  0.5004  0.4966  6 Sb 2.74-3.02
Au  0.2500  0.0004  0.5034  6 Sb 2.74-3.02
Au  0.2500  0.2472  0.1428  4 Sb 2.72-3.02, 2 Au 2.90
Au  0.5000  0.2500  0.8938  4 Sb 2.78, 2 Au 2.90
Au  0.7500  0.2528  0.1428  4 Sb 2.72-3.02, 2 Au 2.90
Au  0.7500  0.7528  0.8572  4 Sb 2.72-3.02, 2 Au 2.90
Au  0.7500  0.4996  0.5034  6 Sb 2.74-3.02
Au  0.5000  0.7500  0.1062  4 Sb 2.78, 2 Au 2.90
Au  0.0000  0.7500  0.1062  4 Sb 2.78, 2 Au 2.90
Au  0.0000  0.2500  0.8938  4 Sb 2.78, 2 Au 2.90
Au  0.7500  0.9996  0.4966  6 Sb 2.74-3.02

=====

A geometry-optimized SmHoTlRh structure. Source: the Alexandria database, functional PBE.

For the total energy, the calculation gives -5.34 eV per atom. As for the mass density: 10.608 g cm⁻³. The formation energy is -0.59 eV/atom.

a = 3.5313 Å, b = 3.5313 Å, c = 7.8155 Å
α = 90.00°, β = 90.00°, γ = 90.00°
Closest atoms and distances in Å follow each position.
Fractional positions:
Rh  0.0000  0.0000  0.5587  4 Ho 2.94, 4 Sm 3.06
Tl  0.0000  0.0000  0.0805  4 Ho 3.32, 4 Sm 3.40, 4 Tl 3.53
Sm  0.5000  0.5000  0.7858  4 Rh 3.06, 1 Ho 3.33, 4 Tl 3.40
Ho  0.5000  0.5000  0.3597  4 Rh 2.94

=====

A geometry-optimized PmTmSi2 structure. Source: the Alexandria database, functional PBE.

For the total energy, the calculation gives -5.80 eV per atom. As for the mass density: 6.931 g cm⁻³.

a = 4.3248 Å, b = 3.8572 Å, c = 5.7382 Å
α = 90.00°, β = 112.13°, γ = 90.00°
Closest atoms and distances in Å follow each position.
Fractional positions:
Tm  0.7213  0.0000  0.9820  7 Si 2.97-3.13
Pm  0.4416  0.5000  0.4219  7 Si 2.98-3.17
Si  0.1592  0.5000  0.8573  2 Si 2.50
Si  0.0088  0.0000  0.5568  2 Si 2.50

=====

A geometry-optimized AcSiPd3 structure. Source: the Alexandria database, functional PBE.

For the total energy, the calculation gives -5.73 eV per atom. As for the mass density: 9.013 g cm⁻³.

a = 4.7299 Å, b = 4.7299 Å, c = 4.7299 Å
α = 90.00°, β = 90.00°, γ = 90.00°
Closest atoms and distances in Å follow each position.
Fractional positions:
Pd  0.0000  0.0000  0.5000  2 Si 2.36
Pd  0.0000  0.5000  0.0000  2 Si 2.36
Pd  0.5000  0.0000  0.0000  2 Si 2.36
Ac  0.5000  0.5000  0.5000  12 Pd 3.34
Si  0.0000  0.0000  0.0000  6 Pd 2.36

=====

A geometry-optimized Pm15Sm4In structure. Source: the Alexandria database, functional PBE.

For the total energy, the calculation gives -4.68 eV per atom. As for the mass density: 7.164 g cm⁻³. The formation energy is -0.04 eV/atom.

a = 5.0967 Å, b = 5.0967 Å, c = 25.7995 Å
α = 90.00°, β = 90.00°, γ = 90.00°
Closest atoms and distances in Å follow each position.
Fractional positions:
Pm  0.5000  0.5000  0.0000  8 Pm 3.55, 4 In 3.60
Pm  0.5000  0.0000  0.9043  2 In 3.55, 8 Pm 3.55-3.63, 2 Sm 3.65
Pm  0.0000  0.5000  0.2979  8 Pm 3.60-3.66, 4 Sm 3.64-3.65
Pm  0.5000  0.5000  0.6014  4 Sm 3.60, 8 Pm 3.64-3.65
Pm  0.0000  0.5000  0.0957  2 In 3.55, 8 Pm 3.55-3.63, 2 Sm 3.65
Pm  0.5000  0.0000  0.7021  8 Pm 3.60-3.66, 4 Sm 3.64-3.65
Pm  0.5000  0.0000  0.0957  2 In 3.55, 8 Pm 3.55-3.63, 2 Sm 3.65
Pm  0.0000  0.5000  0.5000  8 Pm 3.60-3.65, 4 Sm 3.64
Pm  0.5000  0.0000  0.5000  8 Pm 3.60-3.65, 4 Sm 3.64
Pm  0.0000  0.5000  0.9043  2 In 3.55, 8 Pm 3.55-3.63, 2 Sm 3.65
Pm  0.5000  0.0000  0.2979  8 Pm 3.60-3.66, 4 Sm 3.64-3.65
Pm  0.5000  0.5000  0.1960  4 Sm 3.60, 8 Pm 3.63-3.66
Pm  0.5000  0.5000  0.3986  4 Sm 3.60, 8 Pm 3.64-3.65
Pm  0.0000  0.5000  0.7021  8 Pm 3.60-3.66, 4 Sm 3.64-3.65
Pm  0.5000  0.5000  0.8040  4 Sm 3.60, 8 Pm 3.63-3.66
Sm  0.0000  0.0000  0.1972  12 Pm 3.60-3.65
Sm  0.0000  0.0000  0.6005  12 Pm 3.60-3.65
Sm  0.0000  0.0000  0.3995  12 Pm 3.60-3.65
Sm  0.0000  0.0000  0.8028  12 Pm 3.60-3.65
In  0.0000  0.0000  0.0000  12 Pm 3.55-3.60